# Ba2Cd2In3

A geometry-optimized Ba2Cd2In3 structure (PBE, the Alexandria database).

## Properties
Fermi-level density of states in states/eV/f.u.: 7.6
Formation energy from the elements in eV per atom: -0.345
Spin magnetization in μB per cell: 0.000
Symmetry: Cmcm, No. 63

Cell lengths 5.1332, 8.1878, 11.2667 Å; angles 90.00, 103.17, 90.00 degrees
Last column: nearest neighbours and their distance in Å.
Fractional positions:
Ba: 0.1606 0.2500 0.3211  6 In 3.58-3.69, 6 Cd 3.67-3.75
Ba: 0.9425 0.2500 0.8851  9 In 3.69-3.88, 4 Cd 4.07
Ba: 0.8394 0.7500 0.6789  6 In 3.58-3.69, 6 Cd 3.67-3.75
Cd: 0.6835 0.5637 0.3670  4 In 2.97-3.25, 1 Cd 3.05
In: 0.5585 0.4240 0.1170  2 In 2.85, 1 Cd 2.97
Ba: 0.0575 0.7500 0.1149  9 In 3.69-3.88, 4 Cd 4.07
Cd: 0.6835 0.9363 0.3670  4 In 2.97-3.25, 1 Cd 3.05
In: 0.4415 0.5760 0.8830  2 In 2.85, 1 Cd 2.97
In: 0.5585 0.0760 0.1170  2 In 2.85, 1 Cd 2.97
Cd: 0.3165 0.0637 0.6330  4 In 2.97-3.25, 1 Cd 3.05
In: 0.7744 0.2500 0.5487  6 Cd 3.13-3.25
Cd: 0.3165 0.4363 0.6330  4 In 2.97-3.25, 1 Cd 3.05
In: 0.2256 0.7500 0.4513  6 Cd 3.13-3.25
In: 0.4415 0.9240 0.8830  2 In 2.85, 1 Cd 2.97